Entry from OQMD via LeMat-Bulk: a geometry-optimized HfZnCoSn structure (PBE).

a b c (Å): 6.3986 6.3986 6.3986
angles (deg): 90.00 90.00 90.00
Closest atoms and distances in Å follow each position.
Atoms (fractional coordinates):
Hf1 0.0000 0.0000 0.0000  4 Co 2.77, 4 Zn 2.77
Hf2 0.0000 0.5000 0.5000  4 Co 2.77, 4 Zn 2.77
Hf3 0.5000 0.0000 0.5000  4 Co 2.77, 4 Zn 2.77
Hf4 0.5000 0.5000 0.0000  4 Co 2.77, 4 Zn 2.77
Zn1 0.2500 0.2500 0.2500  4 Hf 2.77, 4 Sn 2.77
Zn2 0.2500 0.7500 0.7500  4 Hf 2.77, 4 Sn 2.77
Zn3 0.7500 0.2500 0.7500  4 Hf 2.77, 4 Sn 2.77
Zn4 0.7500 0.7500 0.2500  4 Hf 2.77, 4 Sn 2.77
Co1 0.2500 0.2500 0.7500  4 Hf 2.77, 4 Sn 2.77
Co2 0.2500 0.7500 0.2500  4 Hf 2.77, 4 Sn 2.77
Co3 0.7500 0.2500 0.2500  4 Hf 2.77, 4 Sn 2.77
Co4 0.7500 0.7500 0.7500  4 Hf 2.77, 4 Sn 2.77
Sn1 0.0000 0.0000 0.5000  4 Zn 2.77, 4 Co 2.77
Sn2 0.0000 0.5000 0.0000  4 Zn 2.77, 4 Co 2.77
Sn3 0.5000 0.0000 0.0000  4 Zn 2.77, 4 Co 2.77
Sn4 0.5000 0.5000 0.5000  4 Zn 2.77, 4 Co 2.77

Output
- Final energy: -91.4 eV/cell
- Energy above the lowest structure with this stoichiometry: 0.000 eV per atom
- V: 16.37 Å³ per atom
- ρ: 10.69 Mg/m³